PBE-GGA Na2HfAuO4, relaxed; SG = I-4, No. 82; Fermi-level density of states = 1.84 states/eV per cell; raw formation energy = -1.75 eV/atom; calculated volume = 117 Å³ per cell
1.0
-2.4625 -4.3155 -1.9828
5.2332 -0.0624 -1.1089
-0.3546 0.1652 5.3354
Na O Au Hf
2 4 1 1
Direct
0.5000 0.7500 0.2500
0.0000 0.0000 0.0000
0.4850 0.8694 0.7310
0.1384 0.2690 0.7541
0.5150 0.2459 0.3844
0.8616 0.6156 0.1306
0.0000 0.5000 0.5000
0.5000 0.2500 0.7500